# 1
The following is a DFT calculation (PBE-GGA) of LaAlCl2 after structural relaxation.

POSCAR file:
```
LaAlCl2
1.0
5.529 0.002 0.000
1.628 5.284 0.000
-3.578 -2.643 3.283
Al La Cl
1 1 2
direct
0.750 0.250 0.500
0.250 0.750 0.500
0.500 0.500 0.000
0.000 0.000 0.000
```

Results
For the formation energy (no corrections), the calculation gives -1.0154 eV/atom. The calculation puts the energy at -4.106 eV/atom. For the volume, the calculation gives 24.0 Å³/atom.

***

# 2
The following is a DFT calculation (PBE-GGA) of Cs4PuSe5 after structural relaxation.

POSCAR file:
```
Cs4PuSe5
1.0
-4.064 2.351 -3.232
-5.785 -6.374 -2.389
-6.632 2.752 5.315
Se Pu Cs
5 1 4
direct
0.839 0.000 0.321
0.159 0.679 0.000
0.839 0.321 0.000
0.159 0.000 0.679
0.499 0.000 0.000
0.999 0.000 0.000
0.499 0.718 0.282
0.217 0.282 0.282
0.499 0.282 0.718
0.781 0.718 0.718
```

Results
For the formation energy (no corrections), the calculation gives -1.0267 eV/atom. The calculation puts the energy at -4.544 eV/atom. For the volume, the calculation gives 40.9 Å³/atom.

***

# 3
The following is a DFT calculation (PBE-GGA) of NdUAl4 after structural relaxation.

POSCAR file:
```
NdUAl4
1.0
-2.085 -4.887 -1.773
0.523 -1.483 -5.376
3.459 -4.166 -1.433
Al Nd U
4 1 1
direct
0.626 0.626 0.626
0.626 0.626 0.123
0.123 0.626 0.626
0.626 0.123 0.626
0.250 0.250 0.250
0.000 0.000 0.000
```

Results
The calculation puts the energy at -5.391 eV/atom. For the volume, the calculation gives 20.7 Å³/atom.

***

# 4
The following is a DFT calculation (PBE-GGA) of Hf3ZrGa after structural relaxation.

POSCAR file:
```
Hf3ZrGa
1.0
5.113 0.000 0.000
0.000 5.113 0.000
0.000 0.000 5.113
Zr Hf Ga
1 3 1
direct
0.000 0.000 0.000
0.000 0.500 0.000
0.000 0.000 0.500
0.500 0.000 0.000
0.500 0.500 0.500
```

Results
The calculation puts the energy at -7.021 eV/atom. For the volume, the calculation gives 26.7 Å³/atom.

***

# 5
The following is a DFT calculation (PBE-GGA) of HoPu2RuN4 after structural relaxation.

POSCAR file:
```
HoPu2RuN4
1.0
-0.431 1.466 -2.954
-1.030 -5.854 -0.883
-11.175 1.601 2.425
N Ho Pu Ru
8 2 4 2
direct
0.728 0.456 0.877
0.272 0.544 0.377
0.000 0.000 0.000
0.000 0.000 0.500
0.728 0.456 0.623
0.535 0.070 0.250
0.272 0.544 0.123
0.465 0.930 0.750
0.117 0.234 0.750
0.883 0.766 0.250
0.631 0.262 0.449
0.369 0.738 0.949
0.631 0.262 0.051
0.369 0.738 0.551
0.144 0.288 0.250
0.856 0.712 0.750
```

Results
For the formation energy (no corrections), the calculation gives -0.9275 eV/atom. The calculation puts the energy at -10.405 eV/atom. For the volume, the calculation gives 13.9 Å³/atom.

***

# 6
The following is a DFT calculation (PBE-GGA) of KRb2AuCl after structural relaxation.

POSCAR file:
```
KRb2AuCl
1.0
-5.712 -0.917 2.466
2.358 -4.402 3.824
1.105 4.158 4.105
Cl K Rb Au
1 1 2 1
direct
0.000 0.000 0.000
0.000 0.000 0.500
0.000 0.500 0.000
0.500 0.000 0.000
0.500 0.500 0.500
```

Results
For the formation energy (no corrections), the calculation gives -0.7356 eV/atom. The calculation puts the energy at -2.367 eV/atom. For the volume, the calculation gives 47.0 Å³/atom.